# LaDyRu2

A geometry-optimized LaDyRu2 structure (GGA-PBE, Alexandria).

Results
- symmetry = Fm-3m (225)
- final energy (eV/atom) = -7.208
- density (g cm⁻³) = 10.0
- formation energy (eV per atom) = -0.19

Cell: 4.915 4.915 4.915 Å, 60.01 60.00 60.00°
Atoms (fractional coordinates):
Ru (0.000, 0.000, 0.000)
Ru (0.500, 0.500, 0.500)
Dy (0.250, 0.250, 0.250)
La (0.750, 0.750, 0.750)

---

# LaDyRu2

A geometry-optimized LaDyRu2 structure (GGA-PBE, Alexandria).

Results
- symmetry = P4/mmm (123)
- final energy (eV/atom) = -7.211
- density (g cm⁻³) = 10.0
- formation energy (eV per atom) = -0.19

Cell: 3.473 3.473 6.934 Å, 90.00 90.00 90.00°
Atoms (fractional coordinates):
La (0.500, 0.500, 0.500)
Ru (0.000, 0.000, 0.246)
Ru (0.000, 0.000, 0.754)
Dy (0.500, 0.500, 0.000)

---

# LaDy2Ru

A geometry-optimized LaDy2Ru structure (GGA-PBE, Alexandria).

Results
- symmetry = P4/mmm (123)
- final energy (eV/atom) = -6.077
- density (g cm⁻³) = 8.5
- relative energy among the computed polymorphs (meV per atom) = 69.8
- formation energy (eV per atom) = -0.23

Cell: 3.449 3.449 9.261 Å, 90.00 90.00 90.00°
Atoms (fractional coordinates):
Dy (0.000, 0.000, 0.824)
Dy (0.000, 0.000, 0.176)
Ru (0.500, 0.500, 0.000)
La (0.500, 0.500, 0.500)

---

# La2Dy3Ru2

A geometry-optimized La2Dy3Ru2 structure (GGA-PBE, Alexandria).

Results
- symmetry = C2/m (12)
- final energy (eV/atom) = -6.341
- density (g cm⁻³) = 8.3
- formation energy (eV per atom) = -0.31

Cell: 3.888 6.426 8.646 Å, 100.40 102.99 107.61°
Atoms (fractional coordinates):
Dy (0.500, 0.000, 0.000)
Dy (0.798, 0.175, 0.420)
Dy (0.202, 0.825, 0.580)
La (0.631, 0.464, 0.797)
La (0.369, 0.536, 0.203)
Ru (0.947, 0.129, 0.764)
Ru (0.053, 0.871, 0.236)